No. 1
A geometry-optimized NaSr2NpO6 structure. Source: Alexandria via LeMat-Bulk, functional PBE-GGA.

The structure in POSCAR format:
```
NaSr2NpO6
1.0
-1.2906 -1.5907 5.5756
3.5183 -4.9996 -0.6120
6.6499 4.3196 2.9414
O Np Sr Na
12 2 4 2
Cartesian
7.8251 -1.1289 6.8656
1.2215 -0.0370 4.1770
3.8555 0.0473 5.2766
2.3457 -3.6482 1.2567
5.0221 -2.3180 2.6285
6.5319 1.3775 6.6484
5.5078 -2.9694 5.4313
2.2858 -3.1993 5.2887
3.3698 0.6986 2.4738
1.0524 -1.1418 1.0395
6.5918 0.9286 2.6163
7.6561 -2.2338 3.7281
1.7592 -2.4998 -0.3060
2.6796 1.3644 4.2585
6.3095 -0.3204 4.7685
3.8629 1.3821 7.6360
5.0147 -3.6528 0.2691
2.5681 -1.9503 3.1366
-0.6453 -0.7953 2.7878
5.0841 -0.3400 1.1647
```

Summary:
For the magnetic moment, the calculation gives 0.000 μB/atom. The total energy comes out at -149.223 eV for the cell shown.



No. 2
A geometry-optimized Na3Sr2NpO6 structure. Source: Alexandria via LeMat-Bulk, functional PBE-GGA.

The structure in POSCAR format:
```
Na3Sr2NpO6
1.0
6.2348 -0.0236 0.0068
-3.1364 5.3886 0.0068
-1.0274 -1.7789 5.6083
Sr Na O Np
2 3 6 1
Cartesian
3.1229 1.7736 0.0068
-0.0245 3.5914 0.0068
4.2989 -0.0916 2.8110
1.0356 1.7930 2.8110
-2.2278 3.6777 2.8110
0.2687 3.5997 4.3891
2.9837 2.0318 4.3891
1.8024 -0.0136 1.2328
-0.1198 -0.2074 4.4303
-0.9126 1.5543 1.2328
2.1909 3.7935 1.1917
0.0000 0.0000 0.0000
```

Summary:
For the magnetic moment, the calculation gives 0.167 μB/atom. The total energy comes out at -79.045 eV for the cell shown. The density of states at the Fermi level comes out at 8.43 states/eV/cell.



No. 3
A geometry-optimized NaSr2NpO4 structure. Source: Alexandria via LeMat-Bulk, functional PBE-GGA.

The structure in POSCAR format:
```
NaSr2NpO4
1.0
3.5969 0.0000 0.0000
0.0000 6.1094 0.1613
0.0000 -2.0843 5.7646
Sr O Np Na
2 4 1 1
Cartesian
1.7985 -1.0421 2.8823
0.0000 2.0126 2.9629
1.7985 1.2008 1.3980
1.7985 2.8243 4.5279
0.0000 4.0103 1.4635
0.0000 0.0148 4.4624
1.7985 3.0547 0.0806
0.0000 0.0000 0.0000
```

Summary:
For the magnetic moment, the calculation gives 0.500 μB/atom. The total energy comes out at -56.856 eV for the cell shown. The density of states at the Fermi level comes out at 5.98 states/eV/cell.



No. 4
A geometry-optimized NaNp2TaO8 structure. Source: Alexandria via LeMat-Bulk, functional PBE-GGA.

The structure in POSCAR format:
```
NaNp2TaO8
1.0
-0.6778 -2.6245 4.1329
-2.5569 -3.4264 -2.4788
5.7965 -3.4353 -1.2307
O Np Ta Na
8 2 1 1
Cartesian
0.7118 -5.8078 0.5019
1.8500 -3.6785 -0.0785
-0.9538 -3.9948 -1.4274
2.3837 -5.9732 -2.1359
3.4961 -7.7378 -0.0556
-0.9342 -1.7484 0.4790
0.1781 -3.5131 2.5594
3.5157 -5.4914 1.8508
2.7328 -5.6035 -0.0965
-0.1709 -3.8828 0.5199
0.0000 0.0000 0.0000
2.8982 -1.7177 -0.6154
```

Summary:
For the magnetic moment, the calculation gives 0.333 μB/atom. The total energy comes out at -111.606 eV for the cell shown. The density of states at the Fermi level comes out at 7.82 states/eV/cell.



No. 5
A geometry-optimized Na2TbNpO4 structure. Source: Alexandria via LeMat-Bulk, functional PBE-GGA.

The structure in POSCAR format:
```
Na2TbNpO4
1.0
-1.2440 -0.6468 -3.1819
-4.6236 -2.9777 2.4129
-1.4299 5.7910 -0.6181
Tb O Na Np
1 4 2 1
Cartesian
0.0000 0.0000 0.0000
-5.2778 1.9485 -0.2325
-3.7251 -0.9466 1.6488
-2.3284 3.7599 0.1460
-2.0196 0.2180 -1.1546
-1.3369 2.5721 -1.9000
-3.0267 1.4067 0.8974
-2.9338 -1.8123 -0.3845
```

Summary:
For the magnetic moment, the calculation gives 0.500 μB/atom. The total energy comes out at -59.858 eV for the cell shown. The density of states at the Fermi level comes out at 7.82 states/eV/cell.



No. 6
A geometry-optimized Na2TbNpO6 structure. Source: Alexandria via LeMat-Bulk, functional PBE-GGA.

The structure in POSCAR format:
```
Na2TbNpO6
1.0
5.7753 0.0000 -0.0178
0.0000 5.9243 0.0000
0.0251 0.0000 8.2821
O Na Tb Np
12 4 2 2
Cartesian
0.5844 2.7425 6.3384
5.2160 3.1818 1.9259
3.4595 0.2197 2.1884
3.9501 1.6793 4.5805
1.0499 1.2828 0.4484
2.3409 5.7046 6.0759
4.1494 1.8597 7.8683
1.2492 1.1025 3.7362
1.6510 4.0646 0.3960
1.8503 4.2450 3.6838
4.5512 4.8218 4.5281
4.7505 4.6415 7.8160
5.7517 0.2209 6.1796
0.0487 5.7034 2.0847
2.8515 2.7413 2.0475
2.9489 3.1830 6.2168
2.8876 0.0000 -0.0089
0.0126 2.9621 4.1410
2.9002 0.0000 4.1322
0.0000 2.9621 0.0000
```

Summary:
For the magnetic moment, the calculation gives 0.000 μB/atom. The total energy comes out at -152.520 eV for the cell shown.



No. 7
A geometry-optimized NaTb2NpO8 structure. Source: Alexandria via LeMat-Bulk, functional PBE-GGA.

The structure in POSCAR format:
```
NaTb2NpO8
1.0
-1.9392 -3.3435 3.9014
4.2178 -1.2467 1.0415
0.3984 5.2386 4.6874
O Tb Na Np
8 2 1 1
Cartesian
3.2873 2.6789 5.0990
-0.3766 1.0146 7.2625
2.1737 2.0643 8.0858
2.6938 -0.2612 5.3573
-0.6104 -2.0305 4.5313
0.5032 -1.4159 1.5445
-0.0169 0.9096 4.2730
3.0535 -0.3662 2.3678
1.4401 1.6822 6.0291
1.2368 -1.0338 3.6012
0.1992 2.6193 2.3437
0.0000 0.0000 0.0000
```

Summary:
For the magnetic moment, the calculation gives 0.000 μB/atom. The total energy comes out at -93.947 eV for the cell shown.



No. 8
A geometry-optimized NaTb2NpO6 structure. Source: Alexandria via LeMat-Bulk, functional PBE-GGA.

The structure in POSCAR format:
```
NaTb2NpO6
1.0
5.8648 0.0001 0.0002
2.9324 5.0790 0.0000
2.9323 1.6931 5.1205
O Np Tb Na
6 1 2 1
Cartesian
4.2662 3.2600 3.9297
4.7919 5.1458 1.1967
4.8772 1.5771 1.1967
6.7732 2.0649 3.9298
7.9252 3.4354 1.1968
6.5546 4.8335 3.9297
2.9324 1.6930 0.2331
5.8648 3.3861 2.1335
2.9323 1.6932 4.8479
8.7971 5.0791 3.0872
```

Summary:
For the magnetic moment, the calculation gives 0.200 μB/atom. The total energy comes out at -83.633 eV for the cell shown. The density of states at the Fermi level comes out at 8.40 states/eV/cell.